Entry from the Alexandria database: an optimized crystal structure of SrTaAs2 (GGA-PBE).

Properties
E above lowest polymorph = 972 meV/atom
DOS(E_F) = 4.22 states/eV per cell
ΔH_f (0 K) = 0.2867 eV/atom

Unit cell a=3.108 b=3.108 c=9.772 alpha=90.00 beta=90.00 gamma=90.00
Element x y z (fractional)
Sr 0.000 0.000 0.000
Ta 0.500 0.500 0.298
As 0.000 0.000 0.468
As 0.500 0.500 0.762

---

Entry from the Alexandria database: an optimized crystal structure of Sr2TaAs (GGA-PBE).

Properties
DOS(E_F) = 3.75 states/eV per cell
ΔH_f (0 K) = 0.4374 eV/atom

Unit cell a=5.896 b=5.896 c=3.229 alpha=90.00 beta=90.00 gamma=112.01
Element x y z (fractional)
Sr 0.000 0.500 0.000
Sr 0.500 0.000 0.000
Ta 0.000 0.000 0.500
As 0.500 0.500 0.500

---

Entry from the Alexandria database: an optimized crystal structure of SrTa2As (GGA-PBE).

Properties
DOS(E_F) = 4.32 states/eV per cell
ΔH_f (0 K) = 0.5566 eV/atom

Unit cell a=5.986 b=5.986 c=5.986 alpha=148.63 beta=123.15 gamma=66.38
Element x y z (fractional)
Sr 0.000 0.000 0.000
Ta 0.304 0.804 0.500
Ta 0.526 0.526 0.000
As 0.734 0.234 0.500

---

Entry from the Alexandria database: an optimized crystal structure of SrTa2As (GGA-PBE).

Properties
DOS(E_F) = 4.79 states/eV per cell
ΔH_f (0 K) = 0.4931 eV/atom

Unit cell a=3.137 b=3.137 c=9.198 alpha=90.00 beta=90.00 gamma=104.06
Element x y z (fractional)
Sr 0.000 0.000 0.000
Ta 0.500 0.500 0.313
Ta 0.500 0.500 0.687
As 0.000 0.000 0.500

---

Entry from the Alexandria database: an optimized crystal structure of SrTa2As (GGA-PBE).

Properties
DOS(E_F) = 3.06 states/eV per cell
ΔH_f (0 K) = 0.2682 eV/atom

Unit cell a=6.461 b=6.461 c=6.461 alpha=154.30 beta=131.89 gamma=55.33
Element x y z (fractional)
Sr 0.000 0.000 0.000
Ta 0.293 0.793 0.500
Ta 0.707 0.207 0.500
As 0.500 0.500 0.000

---

Entry from the Alexandria database: an optimized crystal structure of SrTa2As (GGA-PBE).

Properties
DOS(E_F) = 3.32 states/eV per cell
ΔH_f (0 K) = 0.5113 eV/atom

Unit cell a=9.406 b=9.406 c=9.406 alpha=20.60 beta=20.60 gamma=20.60
Element x y z (fractional)
Sr 0.000 0.000 0.000
Ta 0.229 0.229 0.229
Ta 0.771 0.771 0.771
As 0.500 0.500 0.500

---

Entry from the Alexandria database: an optimized crystal structure of Sr2TaAs (GGA-PBE).

Properties
DOS(E_F) = 1.72 states/eV per cell
ΔH_f (0 K) = 0.6532 eV/atom

Unit cell a=5.231 b=5.231 c=5.231 alpha=60.00 beta=60.00 gamma=60.00
Element x y z (fractional)
Sr 0.000 0.000 0.000
Sr 0.250 0.250 0.250
Ta 0.750 0.750 0.750
As 0.500 0.500 0.500

---

Entry from the Alexandria database: an optimized crystal structure of Sr4TaAs (GGA-PBE).

Properties
DOS(E_F) = 4.53 states/eV per cell
ΔH_f (0 K) = 1.0047 eV/atom

Unit cell a=6.721 b=6.721 c=6.721 alpha=60.00 beta=60.00 gamma=60.00
Element x y z (fractional)
Sr 0.125 0.125 0.125
Sr 0.125 0.125 0.625
Sr 0.125 0.625 0.125
Sr 0.625 0.125 0.125
Ta 0.750 0.750 0.750
As 0.500 0.500 0.500

---

Entry from the Alexandria database: an optimized crystal structure of SrTaAs2 (GGA-PBE).

Properties
E above lowest polymorph = 557 meV/atom
DOS(E_F) = 2.94 states/eV per cell
ΔH_f (0 K) = -0.1283 eV/atom

Unit cell a=4.928 b=4.928 c=4.928 alpha=60.00 beta=60.00 gamma=60.00
Element x y z (fractional)
Sr 0.000 0.000 0.000
Ta 0.500 0.500 0.500
As 0.250 0.250 0.250
As 0.750 0.750 0.750

---

Entry from the Alexandria database: an optimized crystal structure of SrTa2As (GGA-PBE).

Properties
DOS(E_F) = 4.45 states/eV per cell
ΔH_f (0 K) = 0.6070 eV/atom

Unit cell a=4.904 b=4.904 c=4.904 alpha=119.87 beta=119.87 gamma=90.22
Element x y z (fractional)
Sr 0.000 0.000 0.000
Ta 0.500 0.500 0.000
Ta 0.750 0.250 0.500
As 0.250 0.750 0.500

---

Entry from the Alexandria database: an optimized crystal structure of Sr2TaAs (GGA-PBE).

Properties
DOS(E_F) = 5.06 states/eV per cell
ΔH_f (0 K) = 0.4706 eV/atom

Unit cell a=10.663 b=10.663 c=10.663 alpha=18.81 beta=18.81 gamma=18.81
Element x y z (fractional)
Sr 0.245 0.245 0.245
Sr 0.755 0.755 0.755
Ta 0.000 0.000 0.000
As 0.500 0.500 0.500

---

Entry from the Alexandria database: an optimized crystal structure of Sr2TaAs (GGA-PBE).

Properties
DOS(E_F) = 2.48 states/eV per cell
ΔH_f (0 K) = 0.0501 eV/atom

Unit cell a=6.326 b=6.326 c=5.729 alpha=112.95 beta=112.95 gamma=33.96
Element x y z (fractional)
Sr 0.000 0.000 0.000
Sr 0.188 0.188 0.649
Ta 0.794 0.794 0.249
As 0.442 0.442 0.479